No. 1
A relaxed MgTiMo2 crystal. Source: Alexandria via LeMat-Bulk, functional PBE.

Properties
**Energy relative to the elements**: 0.68 eV per atom
**Final energy**: -7.1088 eV per atom

abc: 3.8195 3.8195 19.4451
angles: 90.00 90.00 90.00
With the nearest neighbours (Å) after each atom.
Space group I-42d (No. 122)
Asymmetric unit:
Mg 0.0000 0.0000 0.0000 x4  4 Ti 2.70, 4 Mo 2.80
Ti 0.0000 0.0000 0.5000 x4  4 Mg 2.70, 4 Mo 2.76
Mo 0.2324 0.2500 0.6250 x8  4 Mo 2.61-2.80, 2 Ti 2.76, 2 Mg 2.80

No. 2
A relaxed MgTi2Mo2 crystal. Source: Alexandria via LeMat-Bulk, functional PBE.

Properties
**Energy relative to the elements**: 0.23 eV per atom
**Final energy**: -7.5764 eV per atom

abc: 7.2836 7.2836 3.2801
angles: 90.00 90.00 90.00
With the nearest neighbours (Å) after each atom.
Space group P4/mbm (No. 127)
Asymmetric unit:
Mg 0.0000 0.0000 0.0000 x2  4 Mo 2.80
Ti 0.1495 0.3505 0.5000 x4  6 Mo 2.69
Mo 0.1436 0.6436 0.0000 x4  6 Ti 2.69, 2 Mg 2.80, 1 Mo 2.96

No. 3
A relaxed Mg14TiMo crystal. Source: Alexandria via LeMat-Bulk, functional PBE.

Properties
**Energy relative to the elements**: 0.12 eV per atom
**Final energy**: -2.4485 eV per atom

abc: 10.1183 6.0754 11.0492
angles: 90.00 90.00 90.00
With the nearest neighbours (Å) after each atom.
Space group Amm2 (No. 38)
Asymmetric unit:
Mg 0.0000 0.0000 0.0000 x2  12 Mg 3.04-3.19
Mg 0.0000 0.0000 0.4979 x2  12 Mg 3.04-3.21
Mg 0.0000 0.2489 0.2503 x4  12 Mg 3.02-3.24
Mg 0.2529 0.0000 0.6576 x4  1 Ti 3.02, 11 Mg 3.04-3.23
Mg 0.2629 0.0000 0.1560 x4  1 Mo 2.93, 11 Mg 3.04-3.26
Mg 0.2635 0.2465 0.9164 x8  1 Mo 2.99, 10 Mg 2.99-3.26, 1 Ti 3.00
Mg 0.5000 0.2475 0.7527 x4  8 Mg 3.00-3.10, 2 Ti 3.14-3.17, 2 Mo 3.14-3.16
Ti 0.5000 0.0000 0.5037 x2  10 Mg 3.00-3.17, 2 Mo 3.04
Mo 0.5000 0.0000 0.0043 x2  10 Mg 2.93-3.16, 2 Ti 3.04

What did we get for magnetization? Answer: 0.00; 0.00; 0.01 μB/cell, in the order shown.